[1]
CuSnOsC | PBE | optimized geometry

Unit cell a=4.805 b=4.805 c=4.805 alpha=131.68 beta=128.30 gamma=73.46
Positions (direct):
Cu 0.000 0.000 0.000
Sn 0.450 0.450 0.000
Os 0.730 0.230 0.500
C 0.744 0.744 0.000

For the total energy, the calculation gives -26.33 eV for the cell shown. The calculation puts the relative energy among the computed polymorphs at 160.2 meV/atom. The calculation puts the formation enthalpy at 0 K at 0.5549 eV per atom.

[2]
CaGa2Pd2 | PBE | optimized geometry

Unit cell a=7.596 b=7.596 c=3.068 alpha=90.00 beta=90.00 gamma=90.00
Positions (direct):
Ca 0.000 0.000 0.000
Ca 0.500 0.500 0.000
Ga 0.149 0.351 0.500
Ga 0.351 0.851 0.500
Ga 0.649 0.149 0.500
Ga 0.851 0.649 0.500
Pd 0.143 0.643 0.000
Pd 0.357 0.143 0.000
Pd 0.643 0.857 0.000
Pd 0.857 0.357 0.000

For the total energy, the calculation gives -42.72 eV for the cell shown. The calculation puts the formation enthalpy at 0 K at -0.5836 eV per atom.

[3]
Li6NdPt4 | PBE | optimized geometry

Unit cell a=6.719 b=6.719 c=6.719 alpha=122.22 beta=122.22 gamma=86.20
Positions (direct):
Li 0.000 0.500 0.500
Li 0.113 0.113 0.623
Li 0.490 0.490 0.377
Li 0.500 0.000 0.500
Li 0.510 0.887 0.000
Li 0.887 0.510 0.000
Nd 0.000 0.000 0.000
Pt 0.244 0.613 0.000
Pt 0.387 0.387 0.632
Pt 0.613 0.244 0.000
Pt 0.756 0.756 0.368

For the total energy, the calculation gives -44.95 eV for the cell shown. The calculation puts the formation enthalpy at 0 K at -0.4127 eV per atom.

[4]
Ca2ErIn9 | PBE | optimized geometry

Unit cell a=4.682 b=4.682 c=14.096 alpha=90.00 beta=90.00 gamma=90.00
Positions (direct):
Ca 0.000 0.000 0.168
Ca 0.000 0.000 0.832
Er 0.000 0.000 0.500
In 0.000 0.500 0.000
In 0.000 0.500 0.336
In 0.000 0.500 0.664
In 0.500 0.000 0.000
In 0.500 0.000 0.336
In 0.500 0.000 0.664
In 0.500 0.500 0.167
In 0.500 0.500 0.500
In 0.500 0.500 0.833

For the total energy, the calculation gives -37.36 eV for the cell shown. The calculation puts the formation enthalpy at 0 K at -0.3457 eV per atom.

[5]
TiBeRe3 | PBE | optimized geometry

Unit cell a=4.525 b=4.525 c=4.525 alpha=90.00 beta=90.00 gamma=90.00
Positions (direct):
Ti 0.000 0.000 0.000
Be 0.500 0.500 0.500
Re 0.000 0.000 0.500
Re 0.000 0.500 0.000
Re 0.500 0.000 0.000

For the total energy, the calculation gives -38.06 eV for the cell shown. The calculation puts the relative energy among the computed polymorphs at 1698.8 meV/atom. The calculation puts the formation enthalpy at 0 K at 2.1812 eV per atom.

[6]
Ca2Ga2SiH2O8 | PBE | optimized geometry

Unit cell a=7.785 b=7.833 c=7.834 alpha=109.74 beta=109.51 gamma=108.99
Positions (direct):
Ca 0.000 0.000 0.000
Ca 0.023 0.273 0.718
Ca 0.279 0.969 0.719
Ca 0.719 0.718 0.438
Ga 0.244 0.732 0.197
Ga 0.496 0.231 0.472
Ga 0.742 0.478 0.965
Ga 0.765 0.253 0.240
Si 0.271 0.504 0.473
Si 0.517 0.749 0.964
H 0.044 0.979 0.378
H 0.384 0.321 0.059
H 0.674 0.046 0.718
H 0.960 0.626 0.722
O 0.008 0.980 0.486
O 0.039 0.295 0.308
O 0.241 0.213 0.951
O 0.254 0.984 0.257
O 0.292 0.704 0.438
O 0.310 0.579 0.719
O 0.449 0.705 0.129
O 0.452 0.451 0.453
O 0.528 0.237 0.719
O 0.573 0.984 0.999
O 0.717 0.446 0.180
O 0.718 0.717 0.984
O 0.741 0.269 0.468
O 0.781 0.007 0.718
O 0.990 0.755 0.719
O 0.991 0.520 0.968

For the total energy, the calculation gives -191.98 eV for the cell shown. The calculation puts the relative energy among the computed polymorphs at 12.2 meV/atom.

[7]
Ti4MnZn | PBE | optimized geometry

Unit cell a=2.980 b=2.980 c=10.395 alpha=90.00 beta=90.00 gamma=90.00
Positions (direct):
Ti 0.000 0.000 0.140
Ti 0.000 0.000 0.860
Ti 0.500 0.500 0.322
Ti 0.500 0.500 0.678
Mn 0.500 0.500 0.000
Zn 0.000 0.000 0.500

For the total energy, the calculation gives -42.92 eV for the cell shown. The calculation puts the relative energy among the computed polymorphs at 0.0 meV/atom. The calculation puts the formation enthalpy at 0 K at -0.1488 eV per atom.

[8]
CaPPdS2 | PBE | optimized geometry

Unit cell a=5.092 b=5.092 c=5.248 alpha=90.00 beta=90.00 gamma=90.00
Positions (direct):
Ca 0.000 0.000 0.000
P 0.000 0.000 0.500
Pd 0.500 0.500 0.500
S 0.000 0.500 0.000
S 0.500 0.000 0.000

For the total energy, the calculation gives -16.79 eV for the cell shown. As for the uncorrected formation energy: 814.3 meV/atom. The calculation puts the relative energy among the computed polymorphs at 1136.8 meV/atom.

[9]
Sb2AsHI | PBE | optimized geometry

Unit cell a=5.436 b=5.436 c=6.011 alpha=90.00 beta=90.00 gamma=90.00
Positions (direct):
Sb 0.000 0.500 0.000
Sb 0.500 0.000 0.000
As 0.000 0.000 0.000
H 0.500 0.500 0.500
I 0.000 0.000 0.500

For the total energy, the calculation gives -12.90 eV for the cell shown. The calculation puts the relative energy among the computed polymorphs at 333.6 meV/atom.

[10]
TaTe2P | PBE | optimized geometry

Unit cell a=3.450 b=3.450 c=6.986 alpha=90.00 beta=90.00 gamma=90.00
Positions (direct):
Ta 0.000 0.000 0.000
Te 0.500 0.500 0.237
Te 0.500 0.500 0.763
P 0.000 0.000 0.500

For the total energy, the calculation gives -22.36 eV for the cell shown. As for the uncorrected formation energy: 297.1 meV/atom.

[11]
AsRuS2Cl | PBE | optimized geometry

Unit cell a=4.824 b=4.824 c=4.765 alpha=90.00 beta=90.00 gamma=90.00
Positions (direct):
As 0.000 0.000 0.000
Ru 0.500 0.500 0.500
S 0.000 0.500 0.000
S 0.500 0.000 0.000
Cl 0.000 0.000 0.500

For the total energy, the calculation gives -19.33 eV for the cell shown. As for the uncorrected formation energy: 939.8 meV/atom. The calculation puts the relative energy among the computed polymorphs at 486.2 meV/atom.

[12]
Tb12Nd7Th | PBE | optimized geometry

Unit cell a=9.856 b=9.856 c=9.856 alpha=109.47 beta=109.47 gamma=109.47
Positions (direct):
Tb 0.000 0.241 0.759
Tb 0.000 0.759 0.241
Tb 0.241 0.000 0.759
Tb 0.241 0.241 0.481
Tb 0.241 0.481 0.241
Tb 0.241 0.759 0.000
Tb 0.481 0.241 0.241
Tb 0.519 0.759 0.759
Tb 0.759 0.000 0.241
Tb 0.759 0.241 0.000
Tb 0.759 0.519 0.759
Tb 0.759 0.759 0.519
Nd 0.000 0.000 0.500
Nd 0.000 0.500 0.000
Nd 0.000 0.500 0.500
Nd 0.500 0.000 0.000
Nd 0.500 0.000 0.500
Nd 0.500 0.500 0.000
Nd 0.500 0.500 0.500
Th 0.000 0.000 0.000

For the total energy, the calculation gives -83.20 eV for the cell shown. The calculation puts the relative energy among the computed polymorphs at 425.6 meV/atom. The calculation puts the formation enthalpy at 0 K at 0.6581 eV per atom.

[13]
Pu8MnRh5 | PBE | optimized geometry

Unit cell a=7.293 b=7.293 c=7.293 alpha=110.36 beta=110.36 gamma=107.71
Positions (direct):
Pu 0.011 0.624 0.748
Pu 0.230 0.494 0.120
Pu 0.375 0.110 0.880
Pu 0.376 0.124 0.387
Pu 0.506 0.625 0.735
Pu 0.737 0.989 0.613
Pu 0.876 0.263 0.252
Pu 0.890 0.770 0.265
Mn 0.250 0.750 0.500
Rh 0.000 0.000 0.000
Rh 0.131 0.256 0.639
Rh 0.508 0.869 0.125
Rh 0.617 0.492 0.361
Rh 0.744 0.383 0.875

For the total energy, the calculation gives -163.59 eV for the cell shown. The calculation puts the formation enthalpy at 0 K at -0.2146 eV per atom.

[14]
Tm2MgGa3Ni4 | PBE | optimized geometry

Unit cell a=3.856 b=3.856 c=11.046 alpha=90.00 beta=90.00 gamma=90.00
Positions (direct):
Tm 0.000 0.500 0.246
Tm 0.500 0.000 0.754
Mg 0.000 0.000 0.500
Ga 0.000 0.500 0.871
Ga 0.500 0.000 0.129
Ga 0.500 0.500 0.500
Ni 0.000 0.000 0.000
Ni 0.000 0.500 0.654
Ni 0.500 0.000 0.346
Ni 0.500 0.500 0.000

For the total energy, the calculation gives -47.62 eV for the cell shown. The calculation puts the formation enthalpy at 0 K at -0.4877 eV per atom.

[15]
LaNd3Ru | PBE | optimized geometry

Unit cell a=5.571 b=5.571 c=5.571 alpha=90.00 beta=90.00 gamma=90.00
Positions (direct):
La 0.000 0.000 0.000
Nd 0.000 0.500 0.500
Nd 0.500 0.000 0.500
Nd 0.500 0.500 0.000
Ru 0.500 0.500 0.500

For the total energy, the calculation gives -28.43 eV for the cell shown. The calculation puts the relative energy among the computed polymorphs at 131.2 meV/atom. The calculation puts the formation enthalpy at 0 K at 0.0144 eV per atom.

[16]
Er2MgPb3 | PBE | optimized geometry

Unit cell a=8.067 b=8.067 c=4.677 alpha=90.00 beta=90.00 gamma=148.09
Positions (direct):
Er 0.155 0.845 0.000
Er 0.845 0.155 0.000
Mg 0.000 0.000 0.500
Pb 0.331 0.669 0.500
Pb 0.500 0.500 0.000
Pb 0.669 0.331 0.500

For the total energy, the calculation gives -23.97 eV for the cell shown. The calculation puts the relative energy among the computed polymorphs at 0.0 meV/atom. The calculation puts the formation enthalpy at 0 K at -0.3546 eV per atom.

[17]
Tb2Ni | PBE | optimized geometry

Unit cell a=6.696 b=6.696 c=6.696 alpha=150.44 beta=150.44 gamma=42.30
Positions (direct):
Tb 0.131 0.131 0.000
Tb 0.869 0.869 0.000
Ni 0.500 0.500 0.000

For the total energy, the calculation gives -15.73 eV for the cell shown. The calculation puts the formation enthalpy at 0 K at -0.2278 eV per atom.

[18]
PrGePdPt | PBE | optimized geometry

Unit cell a=5.764 b=5.764 c=5.764 alpha=137.10 beta=135.77 gamma=63.31
Positions (direct):
Pr 0.000 0.000 0.000
Ge 0.750 0.250 0.500
Pd 0.358 0.358 0.000
Pt 0.630 0.630 0.000

For the total energy, the calculation gives -23.69 eV for the cell shown. The calculation puts the formation enthalpy at 0 K at -0.7646 eV per atom.

[19]
Pd2CI | PBE | optimized geometry

Unit cell a=4.521 b=4.521 c=4.521 alpha=60.00 beta=60.00 gamma=60.00
Positions (direct):
Pd 0.250 0.250 0.250
Pd 0.750 0.750 0.750
C 0.000 0.000 0.000
I 0.500 0.500 0.500

For the total energy, the calculation gives -15.75 eV for the cell shown. As for the uncorrected formation energy: 1351.4 meV/atom. The calculation puts the relative energy among the computed polymorphs at 734.7 meV/atom.

[20]
Tb2ScHg4 | PBE | optimized geometry

Unit cell a=9.209 b=9.209 c=9.209 alpha=31.30 beta=31.30 gamma=31.30
Positions (direct):
Tb 0.246 0.246 0.246
Tb 0.754 0.754 0.754
Sc 0.000 0.000 0.000
Hg 0.128 0.128 0.128
Hg 0.370 0.370 0.370
Hg 0.630 0.630 0.630
Hg 0.872 0.872 0.872

For the total energy, the calculation gives -19.12 eV for the cell shown. The calculation puts the relative energy among the computed polymorphs at 0.0 meV/atom. The calculation puts the formation enthalpy at 0 K at -0.3316 eV per atom.

[21]
DyPuPaIn | PBE | optimized geometry

Unit cell a=5.268 b=5.268 c=5.268 alpha=60.00 beta=60.00 gamma=60.00
Positions (direct):
Dy 0.000 0.000 0.000
Pu 0.500 0.500 0.500
Pa 0.250 0.250 0.250
In 0.750 0.750 0.750

For the total energy, the calculation gives -30.77 eV for the cell shown. The calculation puts the formation enthalpy at 0 K at 0.1008 eV per atom.

[22]
Ho2Tm6Hg | PBE | optimized geometry

Unit cell a=10.339 b=10.339 c=4.866 alpha=90.00 beta=90.00 gamma=90.00
Positions (direct):
Ho 0.163 0.163 0.000
Ho 0.337 0.663 0.500
Ho 0.663 0.337 0.500
Ho 0.837 0.837 0.000
Tm 0.000 0.333 0.500
Tm 0.000 0.667 0.500
Tm 0.164 0.836 0.000
Tm 0.167 0.500 0.000
Tm 0.333 0.000 0.500
Tm 0.336 0.336 0.500
Tm 0.500 0.167 0.000
Tm 0.500 0.833 0.000
Tm 0.664 0.664 0.500
Tm 0.667 0.000 0.500
Tm 0.833 0.500 0.000
Tm 0.836 0.164 0.000
Hg 0.000 0.000 0.500
Hg 0.500 0.500 0.000

For the total energy, the calculation gives -73.12 eV for the cell shown. The calculation puts the formation enthalpy at 0 K at -0.0306 eV per atom.

[23]
Be2NbRu2 | PBE | optimized geometry

Unit cell a=6.696 b=6.696 c=2.869 alpha=90.00 beta=90.00 gamma=90.00
Positions (direct):
Be 0.144 0.356 0.000
Be 0.356 0.856 0.000
Be 0.644 0.144 0.000
Be 0.856 0.644 0.000
Nb 0.000 0.000 0.500
Nb 0.500 0.500 0.500
Ru 0.149 0.649 0.500
Ru 0.351 0.149 0.500
Ru 0.649 0.851 0.500
Ru 0.851 0.351 0.500

For the total energy, the calculation gives -73.25 eV for the cell shown. The calculation puts the relative energy among the computed polymorphs at 266.2 meV/atom. The calculation puts the formation enthalpy at 0 K at -0.1100 eV per atom.